1.
# HoTiAu2

An optimized crystal structure of HoTiAu2 (PBE, Alexandria via LeMat-Bulk).

Output
Formation energy from the elements   -0.5368 eV/atom
Density of states at the Fermi level   0.913 states/eV per atom
Calculated total energy   -5.29 eV/atom
Calculated density   11973 kg/m³

abc: 4.591 4.591 5.317
angles: 64.42 64.42 60.00
Element x y z (fractional)
Au 0.781 0.781 0.656
Ho 0.000 0.000 0.000
Ti 0.500 0.500 0.500
Au 0.219 0.219 0.344

=====

2.
# Mg2ZrMnAl

An optimized crystal structure of Mg2ZrMnAl (PBE, Alexandria via LeMat-Bulk).

Output
Formation energy from the elements   0.5448 eV/atom
Density of states at the Fermi level   0.715 states/eV per atom
Calculated total energy   -4.39 eV/atom
Calculated density   3323 kg/m³

abc: 4.921 4.576 4.921
angles: 90.00 90.00 90.00
Site moments in Bohr magnetons follow the coordinates.
Element x y z (fractional)
Mn 0.000 0.000 0.000  1.10
Mg 0.000 0.000 0.500  0.00
Mg 0.500 0.000 0.000  0.00
Al 0.500 0.500 0.500  0.01
Zr 0.000 0.500 0.000  -0.15

=====

3.
# Pr2Sm6DyMg

An optimized crystal structure of Pr2Sm6DyMg (PBE, Alexandria via LeMat-Bulk).

Output
Formation energy from the elements   0.1105 eV/atom
Density of states at the Fermi level   1.279 states/eV per atom
Calculated total energy   -4.30 eV/atom
Calculated density   6833 kg/m³

abc: 9.758 8.787 8.787
angles: 116.43 94.74 94.74
Element x y z (fractional)
Pr 0.549 0.203 0.298
Sm 0.615 0.498 0.703
Sm 0.948 0.877 0.249
Pr 0.951 0.702 0.797
Sm 0.552 0.751 0.123
Pr 0.049 0.298 0.203
Sm 0.115 0.703 0.498
Mg 0.250 0.405 0.595
Mg 0.750 0.595 0.405
Sm 0.307 0.994 0.427
Sm 0.885 0.297 0.502
Sm 0.693 0.006 0.573
Dy 0.250 0.985 0.015
Pr 0.451 0.797 0.702
Sm 0.448 0.249 0.877
Sm 0.193 0.573 0.006
Sm 0.052 0.123 0.751
Dy 0.750 0.015 0.985
Sm 0.807 0.427 0.994
Sm 0.385 0.502 0.297

=====

4.
# NdSm6Sc

An optimized crystal structure of NdSm6Sc (PBE, Alexandria via LeMat-Bulk).

Output
Formation energy from the elements   0.3771 eV/atom
Density of states at the Fermi level   1.765 states/eV per atom
Calculated total energy   -4.55 eV/atom
Calculated density   6284 kg/m³

abc: 5.776 5.776 9.235
angles: 77.75 77.75 76.44
Element x y z (fractional)
Sm 0.367 0.367 0.926
Sm 0.543 0.057 0.291
Sm 0.457 0.943 0.709
Sm 0.057 0.543 0.291
Sm 0.943 0.457 0.709
Sm 0.633 0.633 0.074
Sc 0.000 0.000 0.000
Nd 0.500 0.500 0.500

=====

Q: Look up the density of states at the Fermi level of the third one.
A: 1.279 states/eV per atom

=====

Q: Look up the formation energy from the elements of the fourth one.
A: 0.3771 eV/atom

=====

Q: Which value of formation energy from the elements does entry 2 give?
A: 0.5448 eV/atom